Entry 1:
# BaMn4Hg PBE relaxed
# Space-group type: No. 216
# N(E_F), states/eV/cell: 7.23
# Formation energy, eV per atom: 0.59
data_BaMn4Hg
_chemical_formula_sum 'Ba1 Mn4 Hg1'
_symmetry_space_group_name_H-M 'P 1'
_symmetry_Int_Tables_number 1
_cell_length_a 5.5541
_cell_length_b 5.5541
_cell_length_c 5.5541
_cell_angle_alpha 60.00
_cell_angle_beta 60.00
_cell_angle_gamma 60.00
loop_
_symmetry_equiv_pos_as_xyz
'x,y,z'
loop_
_atom_site_label
_atom_site_fract_x
_atom_site_fract_y
_atom_site_fract_z
_atom_site_occupancy
Ba1 0.0000 0.0000 0.0000 1
Mn1 0.3771 0.3771 0.3771 1
Mn2 0.3771 0.3771 0.8687 1
Mn3 0.3771 0.8687 0.3771 1
Mn4 0.8687 0.3771 0.3771 1
Hg1 0.7500 0.7500 0.7500 1

Entry 2:
# NaZr2NiIr PBE relaxed
# Space-group type: No. 123
# N(E_F), states/eV/cell: 5.42
# Formation energy, eV per atom: 0.45
data_NaZr2NiIr
_chemical_formula_sum 'Na1 Zr2 Ni1 Ir1'
_symmetry_space_group_name_H-M 'P 1'
_symmetry_Int_Tables_number 1
_cell_length_a 4.7988
_cell_length_b 4.7988
_cell_length_c 4.7075
_cell_angle_alpha 90.00
_cell_angle_beta 90.00
_cell_angle_gamma 90.00
loop_
_symmetry_equiv_pos_as_xyz
'x,y,z'
loop_
_atom_site_label
_atom_site_fract_x
_atom_site_fract_y
_atom_site_fract_z
_atom_site_occupancy
Na1 0.0000 0.0000 0.0000 1
Zr1 0.0000 0.5000 0.5000 1
Zr2 0.5000 0.0000 0.5000 1
Ni1 0.5000 0.5000 0.5000 1
Ir1 0.5000 0.5000 0.0000 1

Entry 3:
# RbSn3As3 PBE relaxed
# Energy above the most stable polymorph in this dataset, eV per formula unit: 0.000
# Space-group type: No. 62
# Formation energy, eV per atom: -0.26
data_RbSn3As3
_chemical_formula_sum 'Rb4 Sn12 As12'
_symmetry_space_group_name_H-M 'P 1'
_symmetry_Int_Tables_number 1
_cell_length_a 10.6042
_cell_length_b 4.1710
_cell_length_c 20.1601
_cell_angle_alpha 90.00
_cell_angle_beta 90.00
_cell_angle_gamma 90.00
loop_
_symmetry_equiv_pos_as_xyz
'x,y,z'
loop_
_atom_site_label
_atom_site_fract_x
_atom_site_fract_y
_atom_site_fract_z
_atom_site_occupancy
Rb1 0.2209 0.2500 0.0407 1
Rb2 0.2791 0.7500 0.5407 1
Rb3 0.7209 0.2500 0.4593 1
Rb4 0.7791 0.7500 0.9593 1
Sn1 0.0092 0.2500 0.6279 1
Sn2 0.1140 0.7500 0.2397 1
Sn3 0.1699 0.7500 0.8457 1
Sn4 0.3301 0.2500 0.3457 1
Sn5 0.3860 0.2500 0.7397 1
Sn6 0.4908 0.7500 0.1279 1
Sn7 0.5092 0.2500 0.8721 1
Sn8 0.6140 0.7500 0.2603 1
Sn9 0.6699 0.7500 0.6543 1
Sn10 0.8301 0.2500 0.1543 1
Sn11 0.8860 0.2500 0.7603 1
Sn12 0.9908 0.7500 0.3721 1
As1 0.0184 0.2500 0.8750 1
As2 0.1310 0.2500 0.4239 1
As3 0.2259 0.7500 0.7170 1
As4 0.2741 0.2500 0.2170 1
As5 0.3690 0.7500 0.9239 1
As6 0.4816 0.7500 0.3750 1
As7 0.5184 0.2500 0.6250 1
As8 0.6310 0.2500 0.0761 1
As9 0.7259 0.7500 0.7830 1
As10 0.7741 0.2500 0.2830 1
As11 0.8690 0.7500 0.5761 1
As12 0.9816 0.7500 0.1250 1

no.,electronic total energy (eV/cell)
1,-35.39
2,-30.82
3,-115.11